DFT (PBE-GGA) results for crystalline LiZn3GaAg at its relaxed geometry.

Computed properties:
Its space group is No. 11. The value obtained for the total energy is -2.007 eV/atom.

Unit cell a=6.667 b=3.756 c=8.240 alpha=90.00 beta=112.58 gamma=90.00
Fractional positions:
Li 0.004 0.250 0.124
Li 0.996 0.750 0.876
Zn 0.331 0.250 0.963
Zn 0.332 0.750 0.205
Zn 0.343 0.250 0.454
Zn 0.657 0.750 0.546
Zn 0.668 0.250 0.795
Zn 0.669 0.750 0.037
Ga 0.016 0.750 0.365
Ga 0.984 0.250 0.635
Ag 0.328 0.750 0.707
Ag 0.672 0.250 0.293

=====

DFT (PBE-GGA) results for crystalline Li2Zn2Ga2Ag at its relaxed geometry.

Computed properties:
Its space group is No. 166. The value obtained for the total energy is -2.327 eV/atom.

Unit cell a=7.016 b=7.016 c=7.016 alpha=36.57 beta=36.57 gamma=36.57
Fractional positions:
Li 0.138 0.138 0.138
Li 0.862 0.862 0.862
Zn 0.430 0.430 0.430
Zn 0.570 0.570 0.570
Ga 0.272 0.272 0.272
Ga 0.728 0.728 0.728
Ag 0.000 0.000 0.000

=====

DFT (PBE-GGA) results for crystalline Li2Zn4GaAg2 at its relaxed geometry.

Computed properties:
Its space group is No. 139. The value obtained for the total energy is -1.899 eV/atom.

Unit cell a=6.026 b=6.026 c=6.026 alpha=120.24 beta=120.24 gamma=89.59
Fractional positions:
Li 0.216 0.216 0.000
Li 0.784 0.784 0.000
Zn 0.217 0.217 0.435
Zn 0.217 0.783 0.000
Zn 0.783 0.217 0.000
Zn 0.783 0.783 0.565
Ga 0.500 0.500 0.000
Ag 0.250 0.750 0.500
Ag 0.750 0.250 0.500

=====

DFT (PBE-GGA) results for crystalline Li2ZnGa2Ag2 at its relaxed geometry.

Computed properties:
Its space group is No. 166. The value obtained for the total energy is -2.598 eV/atom.

Unit cell a=6.930 b=6.930 c=6.930 alpha=37.61 beta=37.61 gamma=37.61
Fractional positions:
Li 0.141 0.141 0.141
Li 0.859 0.859 0.859
Zn 0.000 0.000 0.000
Ga 0.431 0.431 0.431
Ga 0.569 0.569 0.569
Ag 0.280 0.280 0.280
Ag 0.720 0.720 0.720

=====

DFT (PBE-GGA) results for crystalline LiZnGa2Ag2 at its relaxed geometry.

Computed properties:
Its space group is No. 11. The value obtained for the total energy is -2.550 eV/atom.

Unit cell a=6.593 b=5.274 c=7.022 alpha=90.00 beta=113.14 gamma=90.00
Fractional positions:
Li 0.206 0.250 0.308
Li 0.794 0.750 0.692
Zn 0.500 0.250 0.708
Zn 0.500 0.750 0.292
Ga 0.277 0.503 0.881
Ga 0.277 0.997 0.881
Ga 0.723 0.003 0.119
Ga 0.723 0.497 0.119
Ag 0.066 0.750 0.105
Ag 0.309 0.750 0.555
Ag 0.691 0.250 0.445
Ag 0.934 0.250 0.895

=====

DFT (PBE-GGA) results for crystalline LiZn2GaAg5 at its relaxed geometry.

Computed properties:
Its space group is No. 36. The value obtained for the total energy is -2.502 eV/atom.

Unit cell a=6.679 b=6.679 c=11.030 alpha=90.00 beta=90.00 gamma=142.89
Fractional positions:
Li 0.083 0.917 0.500
Li 0.917 0.083 0.000
Zn 0.419 0.581 0.827
Zn 0.425 0.575 0.497
Zn 0.575 0.425 0.997
Zn 0.581 0.419 0.327
Ga 0.256 0.744 0.997
Ga 0.744 0.256 0.497
Ag 0.080 0.920 0.844
Ag 0.082 0.918 0.157
Ag 0.245 0.755 0.343
Ag 0.251 0.749 0.657
Ag 0.416 0.584 0.164
Ag 0.584 0.416 0.664
Ag 0.749 0.251 0.157
Ag 0.755 0.245 0.843
Ag 0.918 0.082 0.657
Ag 0.920 0.080 0.344

=====

DFT (PBE-GGA) results for crystalline LiZn5GaAg2 at its relaxed geometry.

Computed properties:
Its space group is No. 36. The value obtained for the total energy is -1.957 eV/atom.

Unit cell a=7.924 b=7.924 c=12.602 alpha=90.00 beta=90.00 gamma=158.90
Fractional positions:
Li 0.116 0.884 0.500
Li 0.884 0.116 0.000
Zn 0.041 0.959 0.314
Zn 0.117 0.883 0.129
Zn 0.131 0.869 0.813
Zn 0.285 0.715 0.474
Zn 0.462 0.538 0.162
Zn 0.538 0.462 0.662
Zn 0.715 0.285 0.974
Zn 0.869 0.131 0.313
Zn 0.883 0.117 0.629
Zn 0.959 0.041 0.814
Ga 0.290 0.710 0.149
Ga 0.710 0.290 0.649
Ag 0.308 0.692 0.812
Ag 0.462 0.538 0.469
Ag 0.538 0.462 0.969
Ag 0.692 0.308 0.312

=====

DFT (PBE-GGA) results for crystalline Li2ZnGaAg5 at its relaxed geometry.

Computed properties:
Its space group is No. 36. The value obtained for the total energy is -2.626 eV/atom.

Unit cell a=6.719 b=6.719 c=10.926 alpha=90.00 beta=90.00 gamma=142.95
Fractional positions:
Li 0.084 0.916 0.500
Li 0.084 0.916 0.830
Li 0.916 0.084 0.000
Li 0.916 0.084 0.330
Zn 0.418 0.582 0.500
Zn 0.582 0.418 0.000
Ga 0.251 0.749 0.999
Ga 0.749 0.251 0.499
Ag 0.082 0.918 0.159
Ag 0.248 0.752 0.663
Ag 0.253 0.747 0.342
Ag 0.418 0.582 0.158
Ag 0.421 0.579 0.843
Ag 0.579 0.421 0.343
Ag 0.582 0.418 0.658
Ag 0.747 0.253 0.842
Ag 0.752 0.248 0.163
Ag 0.918 0.082 0.659

=====

DFT (PBE-GGA) results for crystalline LiZnGa2Ag at its relaxed geometry.

Computed properties:
Its space group is No. 63. The value obtained for the total energy is -2.492 eV/atom.

Unit cell a=4.740 b=4.740 c=10.030 alpha=90.00 beta=90.00 gamma=128.75
Fractional positions:
Li 0.103 0.897 0.750
Li 0.897 0.103 0.250
Zn 0.500 0.500 0.000
Zn 0.500 0.500 0.500
Ga 0.208 0.792 0.095
Ga 0.208 0.792 0.405
Ga 0.792 0.208 0.595
Ga 0.792 0.208 0.905
Ag 0.411 0.589 0.750
Ag 0.589 0.411 0.250

=====

DFT (PBE-GGA) results for crystalline Li3Zn2Ga2Ag4 at its relaxed geometry.

Computed properties:
Its space group is No. 164. The value obtained for the total energy is -2.508 eV/atom.

Unit cell a=4.456 b=4.456 c=10.735 alpha=90.00 beta=90.00 gamma=120.00
Fractional positions:
Li 0.000 0.000 0.000
Li 0.000 0.000 0.284
Li 0.000 0.000 0.716
Zn 0.333 0.667 0.570
Zn 0.667 0.333 0.430
Ga 0.333 0.667 0.081
Ga 0.667 0.333 0.919
Ag 0.333 0.667 0.327
Ag 0.333 0.667 0.826
Ag 0.667 0.333 0.174
Ag 0.667 0.333 0.673

=====

DFT (PBE-GGA) results for crystalline LiZrGaAg at its relaxed geometry.

Computed properties:
Its space group is No. 216. The value obtained for the total energy is -4.335 eV/atom.

Unit cell a=6.586 b=6.586 c=6.586 alpha=90.00 beta=90.00 gamma=90.00
Fractional positions:
Li 0.000 0.000 0.000
Li 0.000 0.500 0.500
Li 0.500 0.000 0.500
Li 0.500 0.500 0.000
Zr 0.000 0.000 0.500
Zr 0.000 0.500 0.000
Zr 0.500 0.000 0.000
Zr 0.500 0.500 0.500
Ga 0.250 0.250 0.250
Ga 0.250 0.750 0.750
Ga 0.750 0.250 0.750
Ga 0.750 0.750 0.250
Ag 0.250 0.250 0.750
Ag 0.250 0.750 0.250
Ag 0.750 0.250 0.250
Ag 0.750 0.750 0.750

=====

DFT (PBE-GGA) results for crystalline LuGa2Ag at its relaxed geometry.

Computed properties:
Its space group is No. 123. The value obtained for the total energy is -3.731 eV/atom.

Unit cell a=4.274 b=4.274 c=4.198 alpha=90.00 beta=90.00 gamma=90.00
Fractional positions:
Lu 0.000 0.000 0.000
Ga 0.000 0.500 0.500
Ga 0.500 0.000 0.500
Ag 0.500 0.500 0.000

=====

DFT (PBE-GGA) results for crystalline LuGaAg2 at its relaxed geometry.

Computed properties:
Its space group is No. 123. The value obtained for the total energy is -3.536 eV/atom.

Unit cell a=4.306 b=4.306 c=4.303 alpha=90.00 beta=90.00 gamma=90.00
Fractional positions:
Lu 0.000 0.000 0.000
Ga 0.500 0.500 0.000
Ag 0.000 0.500 0.500
Ag 0.500 0.000 0.500

=====

DFT (PBE-GGA) results for crystalline LuGa2Ag at its relaxed geometry.

Computed properties:
Its space group is No. 123. The value obtained for the total energy is -3.611 eV/atom.

Unit cell a=3.355 b=3.355 c=6.899 alpha=90.00 beta=90.00 gamma=90.00
Fractional positions:
Lu 0.000 0.000 0.000
Ga 0.500 0.500 0.277
Ga 0.500 0.500 0.723
Ag 0.000 0.000 0.500

=====

DFT (PBE-GGA) results for crystalline LuGaAg at its relaxed geometry.

Computed properties:
Its space group is No. 12. The value obtained for the total energy is -3.916 eV/atom.

Unit cell a=10.437 b=4.491 c=6.985 alpha=90.00 beta=131.61 gamma=90.00
Fractional positions:
Lu 0.035 0.000 0.290
Lu 0.465 0.500 0.710
Lu 0.535 0.500 0.290
Lu 0.965 0.000 0.710
Ga 0.159 0.500 0.119
Ga 0.341 0.000 0.881
Ga 0.659 0.000 0.119
Ga 0.841 0.500 0.881
Ag 0.173 0.500 0.719
Ag 0.327 0.000 0.281
Ag 0.673 0.000 0.719
Ag 0.827 0.500 0.281

=====

DFT (PBE-GGA) results for crystalline LuGa2Ag at its relaxed geometry.

Computed properties:
Its space group is No. 225. The value obtained for the total energy is -3.685 eV/atom.

Unit cell a=6.755 b=6.755 c=6.755 alpha=90.00 beta=90.00 gamma=90.00
Fractional positions:
Lu 0.000 0.000 0.000
Lu 0.000 0.500 0.500
Lu 0.500 0.000 0.500
Lu 0.500 0.500 0.000
Ga 0.250 0.250 0.250
Ga 0.250 0.250 0.750
Ga 0.250 0.750 0.250
Ga 0.250 0.750 0.750
Ga 0.750 0.250 0.250
Ga 0.750 0.250 0.750
Ga 0.750 0.750 0.250
Ga 0.750 0.750 0.750
Ag 0.000 0.000 0.500
Ag 0.000 0.500 0.000
Ag 0.500 0.000 0.000
Ag 0.500 0.500 0.500

=====

DFT (PBE-GGA) results for crystalline LuGaAg at its relaxed geometry.

Computed properties:
Its space group is No. 107. The value obtained for the total energy is -3.746 eV/atom.

Unit cell a=3.389 b=3.389 c=10.661 alpha=90.00 beta=90.00 gamma=90.00
Fractional positions:
Lu 0.000 0.000 0.000
Lu 0.500 0.500 0.500
Ga 0.000 0.000 0.675
Ga 0.500 0.500 0.175
Ag 0.000 0.000 0.315
Ag 0.500 0.500 0.815

=====

DFT (PBE-GGA) results for crystalline LuGaAg4 at its relaxed geometry.

Computed properties:
Its space group is No. 216. The value obtained for the total energy is -3.287 eV/atom.

Unit cell a=5.513 b=5.513 c=5.513 alpha=60.00 beta=60.00 gamma=60.00
Fractional positions:
Lu 0.000 0.000 0.000
Ga 0.250 0.250 0.250
Ag 0.125 0.625 0.625
Ag 0.625 0.125 0.625
Ag 0.625 0.625 0.125
Ag 0.625 0.625 0.625

=====

DFT (PBE-GGA) results for crystalline LuGa2Ag at its relaxed geometry.

Computed properties:
Its space group is No. 166. The value obtained for the total energy is -3.697 eV/atom.

Unit cell a=4.411 b=4.411 c=14.137 alpha=90.00 beta=90.00 gamma=120.00
Fractional positions:
Lu 0.000 0.000 0.000
Lu 0.333 0.667 0.667
Lu 0.667 0.333 0.333
Ga 0.000 0.000 0.226
Ga 0.000 0.000 0.774
Ga 0.333 0.667 0.441
Ga 0.333 0.667 0.892
Ga 0.667 0.333 0.108
Ga 0.667 0.333 0.559
Ag 0.000 0.000 0.500
Ag 0.333 0.667 0.167
Ag 0.667 0.333 0.833

=====

DFT (PBE-GGA) results for crystalline LuGaAg2 at its relaxed geometry.

Computed properties:
Its space group is No. 123. The value obtained for the total energy is -3.509 eV/atom.

Unit cell a=3.630 b=3.630 c=6.155 alpha=90.00 beta=90.00 gamma=90.00
Fractional positions:
Lu 0.000 0.000 0.000
Ga 0.000 0.000 0.500
Ag 0.500 0.500 0.256
Ag 0.500 0.500 0.744

=====

Number 1: total magnetization 0.0 Bohr magnetons per cell. Number 2: total magnetization 0.0 Bohr magnetons per cell. Number 3: total magnetization 0.0 Bohr magnetons per cell. Number 4: total magnetization 0.0 Bohr magnetons per cell. Number 5: total magnetization 0.0 Bohr magnetons per cell. Number 6: total magnetization 0.0 Bohr magnetons per cell. Number 7: total magnetization 0.0 Bohr magnetons per cell. Number 8: total magnetization 0.0 Bohr magnetons per cell. Number 9: total magnetization 0.0 Bohr magnetons per cell. Number 10: total magnetization 0.0 Bohr magnetons per cell. Number 11: total magnetization 0.0 Bohr magnetons per cell. Number 12: total magnetization 0.0 Bohr magnetons per cell. Number 13: total magnetization 0.0 Bohr magnetons per cell. Number 14: total magnetization 0.1 Bohr magnetons per cell. Number 15: total magnetization 0.0 Bohr magnetons per cell. Number 16: total magnetization 0.0 Bohr magnetons per cell. Number 17: total magnetization 0.0 Bohr magnetons per cell. Number 18: total magnetization 0.0 Bohr magnetons per cell. Number 19: total magnetization 0.0 Bohr magnetons per cell. Number 20: total magnetization 0.0 Bohr magnetons per cell.